First-principles (PBE with a Hubbard U) data for NiPOF2 after structural relaxation, as listed in Alexandria.

As for the spin magnetization: 2.9 μB per formula unit. As for the distance to the lowest polymorph of the same formula: 0.000 eV per atom. The crystal system is tetragonal. The raw total energy is -3.95 eV per atom.

a b c (Å): 3.797 3.797 4.212
angles (deg): 90.00 90.00 90.00
Space group P4/mmm (No. 123)
Inequivalent atoms, fractional coordinates:
1 Ni 0.000 0.000 0.000
2 P 0.500 0.500 0.500
3 O 0.000 0.000 0.500
4 F 0.000 0.500 0.000